No. 1
# SrCdMo2 (GGA-PBE, optimized geometry)
# Crystal system: tetragonal
# Excess energy over the best structure of this formula in the dataset: 400 meV/atom
# Formation energy from the elements: 3.061 eV/f.u.
# Size of the total moment: 0.000 μB per atom
# Electronic total energy: -5.299 eV per atom
data_SrCdMo2
_chemical_formula_sum 'Sr1 Cd1 Mo2'
_cell_length_a 3.7443
_cell_length_b 3.7443
_cell_length_c 6.9805
_cell_angle_alpha 90.00
_cell_angle_beta 90.00
_cell_angle_gamma 90.00
_space_group_name_H-M_alt 'P 1'
_space_group_IT_number 1
loop_
_space_group_symop_operation_xyz
'x,y,z'
loop_
_atom_site_label
_atom_site_type_symbol
_atom_site_fract_x
_atom_site_fract_y
_atom_site_fract_z
Sr1 Sr 0.0000 0.0000 0.0000
Cd1 Cd 0.0000 0.0000 0.5000
Mo1 Mo 0.5000 0.5000 0.3425
Mo2 Mo 0.5000 0.5000 0.6575



No. 2
# SrCd2Mo (GGA-PBE, optimized geometry)
# Crystal system: monoclinic
# Excess energy over the best structure of this formula in the dataset: 234 meV/atom
# Formation energy from the elements: 2.508 eV/f.u.
# Size of the total moment: 0.000 μB per atom
# Electronic total energy: -2.959 eV per atom
data_SrCd2Mo
_chemical_formula_sum 'Sr1 Cd2 Mo1'
_cell_length_a 5.7034
_cell_length_b 3.0014
_cell_length_c 5.9509
_cell_angle_alpha 90.00
_cell_angle_beta 114.31
_cell_angle_gamma 90.00
_space_group_name_H-M_alt 'P 1'
_space_group_IT_number 1
loop_
_space_group_symop_operation_xyz
'x,y,z'
loop_
_atom_site_label
_atom_site_type_symbol
_atom_site_fract_x
_atom_site_fract_y
_atom_site_fract_z
Sr1 Sr 0.0000 0.0000 0.0000
Cd1 Cd 0.5000 0.0000 0.5000
Cd2 Cd 0.5000 0.5000 0.0000
Mo1 Mo 0.0000 0.5000 0.5000



No. 3
# SrCd2Mo (GGA-PBE, optimized geometry)
# Crystal system: cubic
# Excess energy over the best structure of this formula in the dataset: 226 meV/atom
# Formation energy from the elements: 2.478 eV/f.u.
# Size of the total moment: 0.964 μB per atom
# Electronic total energy: -2.966 eV per atom
data_SrCd2Mo
_chemical_formula_sum 'Sr1 Cd2 Mo1'
_cell_length_a 5.2173
_cell_length_b 5.2173
_cell_length_c 5.2173
_cell_angle_alpha 60.00
_cell_angle_beta 60.00
_cell_angle_gamma 60.00
_space_group_name_H-M_alt 'P 1'
_space_group_IT_number 1
loop_
_space_group_symop_operation_xyz
'x,y,z'
loop_
_atom_site_label
_atom_site_type_symbol
_atom_site_fract_x
_atom_site_fract_y
_atom_site_fract_z
Sr1 Sr 0.0000 0.0000 0.0000
Cd1 Cd 0.5000 0.5000 0.5000
Cd2 Cd 0.7500 0.7500 0.7500
Mo1 Mo 0.2500 0.2500 0.2500



No. 4
# SrCd2Mo (GGA-PBE, optimized geometry)
# Crystal system: trigonal
# Excess energy over the best structure of this formula in the dataset: 232 meV/atom
# Formation energy from the elements: 2.499 eV/f.u.
# Size of the total moment: 0.000 μB per atom
# Electronic total energy: -2.961 eV per atom
data_SrCd2Mo
_chemical_formula_sum 'Sr1 Cd2 Mo1'
_cell_length_a 10.7040
_cell_length_b 10.7040
_cell_length_c 10.7040
_cell_angle_alpha 17.02
_cell_angle_beta 17.02
_cell_angle_gamma 17.02
_space_group_name_H-M_alt 'P 1'
_space_group_IT_number 1
loop_
_space_group_symop_operation_xyz
'x,y,z'
loop_
_atom_site_label
_atom_site_type_symbol
_atom_site_fract_x
_atom_site_fract_y
_atom_site_fract_z
Sr1 Sr 0.0000 0.0000 0.0000
Cd1 Cd 0.2403 0.2403 0.2403
Cd2 Cd 0.7597 0.7597 0.7597
Mo1 Mo 0.5000 0.5000 0.5000